Entry from Alexandria: crystalline CaNi2PdO5 at its relaxed geometry (PBE+U).

CIF file:
```
data_CaNi2PdO5
_chemical_formula_sum 'Ca2 Ni4 Pd2 O10'
_symmetry_space_group_name_H-M 'I m m m'
_symmetry_Int_Tables_number 71
_symmetry_space_group_name_Hall '-I 2 2'
_cell_length_a 3.903
_cell_length_b 5.372
_cell_length_c 10.215
_cell_angle_alpha 90.00
_cell_angle_beta 90.00
_cell_angle_gamma 90.00
loop_
_atom_site_label
_atom_site_type_symbol
_atom_site_fract_x
_atom_site_fract_y
_atom_site_fract_z
Ca1 Ca 0.000 0.000 0.000
Ni1 Ni 0.000 0.500 0.213
Pd1 Pd 0.000 0.000 0.500
O1 O 0.000 0.256 0.358
O2 O 0.000 0.500 0.000
```

Results
As for the total energy: -4.973 eV per atom.